This record from the Alexandria database describes a relaxed Pm2NdEr3Bi6 crystal. The functional is PBE-GGA.

## Properties
SG: C2/m, No. 12
ΔH_f (0 K): -876 meV per atom

Cell and atoms, written as POSCAR:
```
Pm2NdEr3Bi6
1.0
9.841 -2.260 0.000
9.841 2.260 0.000
-2.048 0.000 8.797
Pm Nd Er Bi
2 1 3 6
Direct
0.167 0.167 0.333
0.833 0.833 0.667
0.500 0.500 0.000
0.166 0.166 0.833
0.500 0.500 0.500
0.834 0.834 0.167
0.002 0.002 0.744
0.331 0.331 0.922
0.335 0.335 0.412
0.665 0.665 0.588
0.669 0.669 0.078
0.998 0.998 0.256
```


This record from the Alexandria database describes a relaxed PmNd2Er3Bi6 crystal. The functional is PBE-GGA.

## Properties
SG: C2/m, No. 12
ΔH_f (0 K): -877 meV per atom

Cell and atoms, written as POSCAR:
```
PmNd2Er3Bi6
1.0
9.852 -2.263 0.000
9.852 2.263 0.000
-2.049 0.000 8.806
Pm Nd Er Bi
1 2 3 6
Direct
0.000 0.000 0.000
0.334 0.334 0.667
0.666 0.666 0.333
0.000 0.000 0.500
0.333 0.333 0.167
0.667 0.667 0.833
0.164 0.164 0.589
0.169 0.169 0.077
0.497 0.497 0.255
0.503 0.503 0.745
0.831 0.831 0.923
0.836 0.836 0.411
```


This record from the Alexandria database describes a relaxed Pr2NdErBi5 crystal. The functional is PBE-GGA.

## Properties
SG: P4/mmm, No. 123
ΔH_f (0 K): -35 meV per atom

Cell and atoms, written as POSCAR:
```
Pr2NdErBi5
1.0
5.584 0.000 0.000
0.000 5.584 0.000
0.000 0.000 11.941
Pr Nd Er Bi
2 1 1 5
Direct
0.000 0.000 0.223
0.000 0.000 0.777
0.500 0.500 0.000
0.500 0.500 0.500
0.000 0.000 0.500
0.000 0.500 0.000
0.500 0.000 0.000
0.500 0.500 0.258
0.500 0.500 0.742
```


This record from the Alexandria database describes a relaxed Pr2NdEr3Bi6 crystal. The functional is PBE-GGA.

## Properties
SG: C2/m, No. 12
ΔH_f (0 K): -881 meV per atom

Cell and atoms, written as POSCAR:
```
Pr2NdEr3Bi6
1.0
9.886 -2.272 0.000
9.886 2.272 0.000
-2.051 0.000 8.838
Pr Nd Er Bi
2 1 3 6
Direct
0.167 0.167 0.333
0.833 0.833 0.667
0.500 0.500 0.000
0.167 0.167 0.833
0.500 0.500 0.500
0.833 0.833 0.167
0.003 0.003 0.744
0.331 0.331 0.925
0.336 0.336 0.410
0.664 0.664 0.590
0.669 0.669 0.075
0.997 0.997 0.256
```


This record from the Alexandria database describes a relaxed PrNd2ErBi4 crystal. The functional is PBE-GGA.

## Properties
SG: P2/m, No. 10
ΔH_f (0 K): -910 meV per atom

Cell and atoms, written as POSCAR:
```
PrNd2ErBi4
1.0
7.929 0.000 0.000
0.000 4.583 0.000
-2.646 0.000 7.476
Pr Nd Er Bi
1 2 1 4
Direct
0.000 0.000 0.000
0.000 0.500 0.500
0.500 0.000 0.500
0.500 0.500 0.000
0.255 0.500 0.248
0.258 0.000 0.757
0.742 0.000 0.243
0.745 0.500 0.752
```


This record from the Alexandria database describes a relaxed PrNd2ErBi5 crystal. The functional is PBE-GGA.

## Properties
SG: P4/mmm, No. 123
ΔH_f (0 K): 21 meV per atom

Cell and atoms, written as POSCAR:
```
PrNd2ErBi5
1.0
5.609 0.000 0.000
0.000 5.609 0.000
0.000 0.000 11.938
Pr Nd Er Bi
1 2 1 5
Direct
0.000 0.000 0.000
0.500 0.500 0.224
0.500 0.500 0.776
0.000 0.000 0.500
0.000 0.000 0.258
0.000 0.000 0.742
0.000 0.500 0.000
0.500 0.000 0.000
0.500 0.500 0.500
```